[1]
InAgTe2 | PBE | optimized geometry

abc: 7.184 7.184 6.047
angles: 67.82 67.82 25.12
Fractional positions:
Te1 0.212 0.212 0.276
In1 0.869 0.869 0.442
Te2 0.035 0.035 0.960
Ag1 0.384 0.384 0.822

Summary:
- Formation energy (no corrections): -0.055 eV/atom
- Energy: -3.023 eV/atom
- Volume: 30.536 Å³ per atom
- Symmetry: Cm

[2]
Pd12Pt3Rh | PBE | optimized geometry

abc: 3.943 3.943 15.741
angles: 90.00 90.00 90.00
Fractional positions:
Pt1 0.000 0.000 0.249
Pd1 0.000 0.500 0.123
Pd2 0.000 0.500 0.375
Pd3 0.500 0.500 0.500
Pd4 0.500 0.500 0.249
Pd5 0.500 0.500 0.000
Pd6 0.000 0.500 0.625
Pd7 0.500 0.500 0.751
Pt2 0.000 0.000 0.751
Pd8 0.500 0.000 0.877
Pt3 0.000 0.000 0.500
Rh1 0.000 0.000 0.000
Pd9 0.500 0.000 0.625
Pd10 0.000 0.500 0.877
Pd11 0.500 0.000 0.375
Pd12 0.500 0.000 0.123

Summary:
- Calculated formation energy: 0.10 eV/f.u.
- Energy: -5.481 eV/atom
- Volume: 15.298 Å³ per atom
- Symmetry: P4/mmm

[3]
Dy2YBi | PBE | optimized geometry

abc: 4.047 4.047 9.825
angles: 78.11 78.11 60.00
Each line ends with the local moment (μB).
Fractional positions:
Dy1 0.070 0.070 0.789  0.19
Bi1 0.666 0.666 0.001  0.00
Dy2 0.263 0.263 0.210  0.01
Y1 0.500 0.500 0.499  0.15

Summary:
- Calculated formation energy: -0.67 eV/f.u.
- Energy: -5.055 eV/atom
- Volume: 33.842 Å³ per atom
- Symmetry: R3m

[4]
TaAg4Sb | PBE | optimized geometry

abc: 5.501 5.501 5.501
angles: 60.00 60.00 60.00
Each line ends with the local moment (μB).
Fractional positions:
Ag1 0.375 0.876 0.375  0.04
Ag2 0.375 0.375 0.375  0.04
Ag3 0.375 0.375 0.876  0.04
Sb1 0.750 0.750 0.750  -0.03
Ta1 0.000 0.000 0.000  1.03
Ag4 0.876 0.375 0.375  0.04

Summary:
- Formation energy (no corrections): 0.532 eV/atom
- Energy: -4.031 eV/atom
- Volume: 19.617 Å³ per atom
- Symmetry: F-43m

[5]
NaLiBi3 | PBE | optimized geometry

abc: 5.309 5.309 5.309
angles: 90.00 90.00 90.00
Fractional positions:
Li1 0.000 0.000 0.000
Bi1 0.500 0.000 0.000
Bi2 0.000 0.000 0.500
Bi3 0.000 0.500 0.000
Na1 0.500 0.500 0.500

Summary:
- Calculated formation energy: 0.01 eV/f.u.
- Energy: -2.973 eV/atom
- Volume: 29.924 Å³ per atom
- Symmetry: Pm-3m

[6]
La5Pm2Er2 | PBE | optimized geometry

abc: 6.194 6.194 11.489
angles: 101.07 101.07 48.97
Fractional positions:
Er1 0.846 0.846 0.721
La1 0.000 0.000 0.000
La2 0.733 0.733 0.107
La3 0.267 0.267 0.893
Pm1 0.458 0.458 0.252
Er2 0.154 0.154 0.279
La4 0.843 0.843 0.428
La5 0.157 0.157 0.572
Pm2 0.542 0.542 0.748

Summary:
- Calculated formation energy: 1.66 eV/f.u.
- Energy: -4.622 eV/atom
- Volume: 36.106 Å³ per atom
- Symmetry: C2/m

[7]
CaB2Te | PBE | optimized geometry

abc: 6.736 6.736 5.787
angles: 54.41 54.41 90.00
Fractional positions:
Te1 0.000 0.000 0.000
B1 0.875 0.921 0.750
Ca1 0.250 0.750 0.500
Ca2 0.500 0.500 0.000
B2 0.671 0.125 0.250
B3 0.375 0.329 0.750
Te2 0.750 0.250 0.500
B4 0.079 0.625 0.250

Summary:
- Formation energy (no corrections): 0.808 eV/atom
- Energy: -3.817 eV/atom
- Volume: 18.641 Å³ per atom
- Symmetry: I-42d

[8]
SBr2O | PBE | optimized geometry

abc: 4.620 6.204 13.104
angles: 76.97 110.88 129.86
Fractional positions:
O1 0.338 0.150 0.249
Br1 0.542 0.269 0.606
Br2 0.458 0.731 0.394
Br3 0.164 0.728 0.106
O2 0.662 0.850 0.751
S1 0.112 0.846 0.250
S2 0.888 0.154 0.750
Br4 0.836 0.272 0.894

Summary:
- Formation energy (no corrections): -0.413 eV/atom
- Energy: -3.521 eV/atom
- Volume: 33.676 Å³ per atom
- Symmetry: P-1

[9]
Na3Ge5O12 | PBE | optimized geometry

abc: 10.580 10.580 10.580
angles: 109.47 109.47 109.47
Each line ends with the local moment (μB).
Fractional positions:
Na1 0.125 0.250 0.875  0.00
Ge1 0.500 0.500 0.500  -0.01
Na2 0.375 0.750 0.625  0.00
Ge2 0.125 0.750 0.375  -0.01
O1 0.987 0.600 0.180  0.06
Ge3 0.250 0.375 0.625  -0.01
Ge4 0.500 0.000 0.500  -0.01
O2 0.400 0.386 0.579  0.06
O3 0.886 0.579 0.900  0.06
O4 0.079 0.180 0.193  0.06
O5 0.513 0.320 0.900  0.06
O6 0.114 0.421 0.100  0.06
O7 0.513 0.193 0.114  0.06
O8 0.807 0.320 0.921  0.06
Ge5 0.250 0.875 0.125  -0.01
Na3 0.250 0.625 0.875  0.00
Ge6 0.375 0.250 0.125  -0.01
O9 0.600 0.987 0.680  0.06
Na4 0.750 0.375 0.125  0.00
O10 0.320 0.807 0.421  0.06
Na5 0.375 0.625 0.250  0.00
O11 0.487 0.680 0.100  0.06
Na6 0.625 0.375 0.750  0.00
Ge7 0.625 0.750 0.875  -0.01
Na7 0.875 0.125 0.250  0.00
Ge8 0.750 0.125 0.875  -0.01
O12 0.680 0.487 0.600  0.06
Ge9 0.125 0.375 0.250  -0.01
O13 0.013 0.400 0.820  0.06
Ge10 0.750 0.625 0.375  -0.01
O14 0.600 0.614 0.421  0.06
O15 0.921 0.100 0.614  0.06
O16 0.820 0.900 0.013  0.06
O17 0.807 0.487 0.386  0.06
O18 0.987 0.386 0.307  0.06
Ge11 0.000 0.000 0.000  -0.01
O19 0.320 0.513 0.400  0.06
O20 0.307 0.421 0.820  0.06
Ge12 0.625 0.875 0.250  -0.01
Ge13 0.500 0.500 0.000  -0.01
Ge14 0.875 0.250 0.625  -0.01
O21 0.614 0.600 0.921  0.06
O22 0.386 0.987 0.807  0.06
O23 0.614 0.013 0.193  0.06
Na8 0.750 0.875 0.625  0.00
O24 0.193 0.513 0.614  0.06
Ge15 0.375 0.125 0.750  -0.01
O25 0.693 0.114 0.013  0.06
O26 0.421 0.307 0.320  0.06
O27 0.487 0.807 0.886  0.06
O28 0.100 0.921 0.114  0.06
Ge16 0.500 0.000 0.000  -0.01
Na9 0.875 0.750 0.125  0.00
O29 0.400 0.013 0.320  0.06
O30 0.114 0.693 0.513  0.06
O31 0.307 0.886 0.987  0.06
Na10 0.250 0.125 0.375  0.00
O32 0.193 0.680 0.079  0.06
Ge17 0.000 0.500 0.500  -0.01
O33 0.886 0.307 0.487  0.06
O34 0.921 0.820 0.807  0.06
O35 0.900 0.079 0.886  0.06
Ge18 0.875 0.625 0.750  -0.01
O36 0.900 0.820 0.513  0.06
Na11 0.625 0.250 0.375  0.00
O37 0.180 0.100 0.987  0.06
O38 0.079 0.900 0.386  0.06
Ge19 0.000 0.500 0.000  -0.01
O39 0.421 0.114 0.600  0.06
O40 0.579 0.886 0.400  0.06
O41 0.680 0.193 0.579  0.06
O42 0.386 0.400 0.079  0.06
Na12 0.125 0.875 0.750  0.00
O43 0.693 0.579 0.180  0.06
O44 0.180 0.079 0.693  0.06
O45 0.579 0.693 0.680  0.06
O46 0.013 0.614 0.693  0.06
Ge20 0.000 0.000 0.500  -0.01
O47 0.100 0.180 0.487  0.06
O48 0.820 0.921 0.307  0.06

Summary:
- Formation energy (no corrections): -1.612 eV/atom
- Energy: -5.939 eV/atom
- Volume: 11.397 Å³ per atom
- Symmetry: Ia-3d

[10]
Li3ReSe | PBE | optimized geometry

abc: 4.963 4.963 4.963
angles: 90.00 90.00 90.00
Each line ends with the local moment (μB).
Fractional positions:
Li1 0.500 0.000 0.000  0.01
Se1 0.500 0.500 0.500  0.20
Re1 0.000 0.000 0.000  2.88
Li2 0.000 0.000 0.500  0.01
Li3 0.000 0.500 0.000  0.01

Summary:
- Formation energy (no corrections): 1.105 eV/atom
- Energy: -3.230 eV/atom
- Volume: 24.455 Å³ per atom
- Symmetry: Pm-3m

[11]
K4P4H7Ru2O18 | PBE | optimized geometry

abc: 9.127 9.579 10.504
angles: 90.00 90.62 90.00
Each line ends with the local moment (μB).
Fractional positions:
K1 0.874 0.782 0.651  0.00
Ru1 0.000 0.967 0.107  1.31
K2 0.859 0.615 0.218  0.00
Ru2 0.500 0.533 0.607  1.31
H1 0.879 0.645 0.904  0.00
O1 0.747 0.353 0.083  0.00
O2 0.247 0.147 0.583  0.00
P1 0.716 0.863 0.964  0.00
O3 0.912 0.154 0.164  0.02
K3 0.641 0.115 0.282  0.00
P2 0.106 0.718 0.928  0.00
O4 0.077 0.768 0.068  0.02
P3 0.394 0.218 0.572  0.00
H2 0.621 0.145 0.596  0.00
O5 0.787 0.892 0.098  0.03
P4 0.894 0.282 0.072  0.00
O6 0.753 0.853 0.417  0.00
O7 0.088 0.846 0.836  0.02
O8 0.953 0.388 0.531  0.00
O9 0.453 0.112 0.031  0.00
O10 0.423 0.268 0.432  0.02
O11 0.547 0.888 0.969  0.00
K4 0.374 0.718 0.151  0.00
O12 0.990 0.066 0.672  0.00
O13 0.736 0.710 0.923  0.01
K5 0.626 0.282 0.849  0.00
O14 0.287 0.534 0.366  0.03
O15 0.287 0.608 0.598  0.03
O16 0.213 0.108 0.902  0.03
H3 0.416 0.600 0.864  0.00
O17 0.213 0.034 0.134  0.03
O18 0.787 0.966 0.866  0.03
O19 0.764 0.210 0.577  0.01
H4 0.408 0.375 0.136  0.00
K6 0.141 0.385 0.782  0.00
O20 0.923 0.232 0.932  0.02
P5 0.784 0.363 0.536  0.00
O21 0.010 0.934 0.328  0.00
O22 0.577 0.732 0.568  0.02
O23 0.264 0.290 0.077  0.01
O24 0.047 0.612 0.469  0.00
P6 0.606 0.782 0.428  0.00
O25 0.985 0.607 0.887  0.00
P7 0.216 0.637 0.464  0.00
H5 0.121 0.355 0.096  0.00
O26 0.588 0.654 0.336  0.02
H6 0.084 0.100 0.636  0.00
O27 0.412 0.346 0.664  0.02
K7 0.126 0.218 0.349  0.00
O28 0.236 0.790 0.423  0.01
P8 0.284 0.137 0.036  0.00
Ru3 0.000 0.033 0.893  1.31
H7 0.500 0.000 0.000  0.00
O29 0.713 0.466 0.634  0.03
H8 0.592 0.625 0.864  0.00
O30 0.490 0.434 0.172  0.00
H9 0.000 0.500 0.500  0.00
H10 0.916 0.900 0.364  0.00
O31 0.515 0.107 0.613  0.00
O32 0.015 0.393 0.113  0.00
O33 0.510 0.566 0.828  0.00
O34 0.485 0.893 0.387  0.00
K8 0.359 0.885 0.718  0.00
H11 0.584 0.400 0.136  0.00
H12 0.092 0.875 0.364  0.00
O35 0.713 0.392 0.402  0.03
H13 0.379 0.855 0.404  0.00
O36 0.253 0.647 0.917  0.00
H14 0.908 0.125 0.636  0.00
Ru4 0.500 0.467 0.393  1.31

Summary:
- Energy: -6.221 eV/atom
- Volume: 13.119 Å³ per atom
- Symmetry: P2_1/c

[12]
InPt2Br | PBE | optimized geometry

abc: 6.594 6.614 6.602
angles: 153.51 141.20 47.56
Fractional positions:
Br1 0.496 0.496 0.999
Pt1 0.792 0.292 0.500
Pt2 0.001 0.001 0.000
In1 0.211 0.711 0.501

Summary:
- Formation energy (no corrections): 0.103 eV/atom
- Energy: -4.021 eV/atom
- Volume: 20.044 Å³ per atom
- Symmetry: P1

What did the eighth record say?
SBr2O | PBE | optimized geometry

abc: 4.620 6.204 13.104
angles: 76.97 110.88 129.86
Fractional positions:
O1 0.338 0.150 0.249
Br1 0.542 0.269 0.606
Br2 0.458 0.731 0.394
Br3 0.164 0.728 0.106
O2 0.662 0.850 0.751
S1 0.112 0.846 0.250
S2 0.888 0.154 0.750
Br4 0.836 0.272 0.894

Summary:
- Formation energy (no corrections): -0.413 eV/atom
- Energy: -3.521 eV/atom
- Volume: 33.676 Å³ per atom
- Symmetry: P-1